Record 1
Density functional theory data (GGA-PBE) for a relaxed structure of Li3Cd2Au3.

The calculated total energy is -41.3 eV per cell. The formation energy from the elements comes out at -0.4077 eV/atom. The total moment comes out at 0.0 μB per cell.

The structure belongs to space group C2/m (No. 12); the cell edges are 16.7911, 3.9749 and 4.2685 Å and the angles 90.00°, 104.36° and 90.00°. Symmetry generates all atoms from Li at (0.0000, 0.0000, 0.0000), Li at (0.1163, 0.0000, 0.6159), Cd at (0.2473, 0.5000, 0.7482), Au at (0.0000, 0.5000, 0.5000) and Au at (0.1195, 0.5000, 0.1218).


Record 2
Density functional theory data (GGA-PBE) for a relaxed structure of LiCdAu2.

The calculated total energy is -21.8 eV per cell. The formation energy from the elements comes out at -0.3774 eV/atom. The total moment comes out at 0.0 μB per cell.

The structure belongs to space group I4/mmm (No. 139); the cell edges are 4.2029, 4.2029 and 8.0157 Å and the angles 90.00°, 90.00° and 90.00°. Symmetry generates all atoms from Li at (0.0000, 0.0000, 0.0000), Cd at (0.0000, 0.0000, 0.5000) and Au at (0.0000, 0.5000, 0.2500).


Record 3
Density functional theory data (GGA-PBE) for a relaxed structure of Li2Cd3Au2.

The calculated total energy is -30.8 eV per cell. The formation energy from the elements comes out at -0.3219 eV/atom. The total moment comes out at 0.0 μB per cell. The calculation puts the energy above the most stable polymorph in this dataset at 0.017 eV per atom.

The structure belongs to space group C2/m (No. 12); the cell edges are 9.6998, 4.2345 and 6.3956 Å and the angles 90.00°, 96.24° and 90.00°. Symmetry generates all atoms from Li at (0.0798, 0.0000, 0.1885), Cd at (0.0000, 0.5000, 0.5000), Cd at (0.2098, 0.0000, 0.6586) and Au at (0.1344, 0.5000, 0.9335).


| no. | mass density (g/cm3) |
| --- | --- |
| 1 | 10.1 |
| 2 | 12.0 |
| 3 | 9.5 |